# RbSrDyBr6, optimized geometry, DFT GGA-PBE
data_RbSrDyBr6
_chemical_formula_sum 'Rb2 Sr2 Dy2 Br12'
_space_group_name_H-M_alt 'P 1'
_space_group_IT_number 1
_cell_length_a 7.735
_cell_length_b 7.735
_cell_length_c 14.685
_cell_angle_alpha 90.00
_cell_angle_beta 90.00
_cell_angle_gamma 120.00
loop_
_space_group_symop_operation_xyz
'x,y,z'
loop_
_atom_site_label
_atom_site_type_symbol
_atom_site_fract_x
_atom_site_fract_y
_atom_site_fract_z
Rb1 Rb 0.000 0.000 0.000
Rb2 Rb 0.000 0.000 0.500
Sr1 Sr 0.333 0.667 0.250
Sr2 Sr 0.667 0.333 0.750
Dy1 Dy 0.333 0.667 0.750
Dy2 Dy 0.667 0.333 0.250
Br1 Br 0.025 0.384 0.638
Br2 Br 0.025 0.640 0.862
Br3 Br 0.360 0.384 0.862
Br4 Br 0.360 0.975 0.638
Br5 Br 0.384 0.025 0.138
Br6 Br 0.384 0.360 0.362
Br7 Br 0.616 0.640 0.638
Br8 Br 0.616 0.975 0.862
Br9 Br 0.640 0.025 0.362
Br10 Br 0.640 0.616 0.138
Br11 Br 0.975 0.360 0.138
Br12 Br 0.975 0.616 0.362
# Mass density   3.6 g cm⁻³
# Formation energy (no corrections)   -1.9594 eV/atom
# Space group   P-31c, No. 163
# M_tot   0.00 μB/atom
# D(E_F)   0.0 states/eV/cell

# CsV3Os, optimized geometry, DFT GGA-PBE
data_CsV3Os
_chemical_formula_sum 'Cs1 V3 Os1'
_space_group_name_H-M_alt 'P 1'
_space_group_IT_number 1
_cell_length_a 4.636
_cell_length_b 4.636
_cell_length_c 4.636
_cell_angle_alpha 90.00
_cell_angle_beta 90.00
_cell_angle_gamma 90.00
loop_
_space_group_symop_operation_xyz
'x,y,z'
loop_
_atom_site_label
_atom_site_type_symbol
_atom_site_fract_x
_atom_site_fract_y
_atom_site_fract_z
Cs1 Cs 0.000 0.000 0.000
V1 V 0.000 0.000 0.500
V2 V 0.000 0.500 0.000
V3 V 0.500 0.000 0.000
Os1 Os 0.500 0.500 0.500
# Mass density   7.9 g cm⁻³
# Space group   Pm-3m, No. 221
# M_tot   0.00 μB/atom
# Formation energy   3.036 eV per atom
# Excess energy over the best structure of this formula in the dataset   1809 meV/atom
# D(E_F)   7.2 states/eV/cell

# La2Zn2GePd5, optimized geometry, DFT GGA-PBE
data_La2Zn2GePd5
_chemical_formula_sum 'La4 Zn4 Ge2 Pd10'
_space_group_name_H-M_alt 'P 1'
_space_group_IT_number 1
_cell_length_a 10.004
_cell_length_b 10.004
_cell_length_c 3.756
_cell_angle_alpha 90.00
_cell_angle_beta 90.00
_cell_angle_gamma 90.00
loop_
_space_group_symop_operation_xyz
'x,y,z'
loop_
_atom_site_label
_atom_site_type_symbol
_atom_site_fract_x
_atom_site_fract_y
_atom_site_fract_z
La1 La 0.180 0.320 0.000
La2 La 0.320 0.820 0.000
La3 La 0.680 0.180 0.000
La4 La 0.820 0.680 0.000
Zn1 Zn 0.119 0.619 0.000
Zn2 Zn 0.381 0.119 0.000
Zn3 Zn 0.619 0.881 0.000
Zn4 Zn 0.881 0.381 0.000
Ge1 Ge 0.000 0.000 0.000
Ge2 Ge 0.500 0.500 0.000
Pd1 Pd 0.000 0.500 0.500
Pd2 Pd 0.061 0.795 0.500
Pd3 Pd 0.205 0.061 0.500
Pd4 Pd 0.295 0.561 0.500
Pd5 Pd 0.439 0.295 0.500
Pd6 Pd 0.500 0.000 0.500
Pd7 Pd 0.561 0.705 0.500
Pd8 Pd 0.705 0.439 0.500
Pd9 Pd 0.795 0.939 0.500
Pd10 Pd 0.939 0.205 0.500
# Mass density   9.0 g cm⁻³
# Space group   P4/mbm, No. 127
# M_tot   0.00 μB/atom
# Formation energy   -0.615 eV per atom
# D(E_F)   8.9 states/eV/cell

# SrIN2F, optimized geometry, DFT GGA-PBE
data_SrIN2F
_chemical_formula_sum 'Sr1 I1 N2 F1'
_space_group_name_H-M_alt 'P 1'
_space_group_IT_number 1
_cell_length_a 4.971
_cell_length_b 4.971
_cell_length_c 4.334
_cell_angle_alpha 90.00
_cell_angle_beta 90.00
_cell_angle_gamma 90.00
loop_
_space_group_symop_operation_xyz
'x,y,z'
loop_
_atom_site_label
_atom_site_type_symbol
_atom_site_fract_x
_atom_site_fract_y
_atom_site_fract_z
Sr1 Sr 0.000 0.000 0.000
I1 I 0.500 0.500 0.000
N1 N 0.000 0.500 0.500
N2 N 0.500 0.000 0.500
F1 F 0.500 0.500 0.500
# Mass density   4.1 g cm⁻³
# Formation energy (no corrections)   0.9672 eV/atom
# Space group   P4/mmm, No. 123
# M_tot   0.87 μB/atom
# Excess energy over the best structure of this formula in the dataset   870 meV/atom
# D(E_F)   1.9 states/eV/cell